PBE-GGA BaTmCd, relaxed; calculated volume = 107 Å³/cell; E = -2.521 eV/atom; theoretical density = 6.5 Mg/m³; energy relative to the elements = -84.3 meV per atom
1.0
-1.971 1.971 6.868
1.971 -1.971 6.868
1.971 1.971 -6.868
Ba Tm Cd
1 1 1
direct
0.000 0.000 0.000
0.282 0.282 0.000
0.679 0.679 0.000